No. 1
# Zr5Rh, optimized geometry, DFT PBE
data_Zr5Rh
_chemical_formula_sum 'Zr5 Rh1'
_space_group_name_H-M_alt 'P -6 2 m'
_space_group_IT_number 189
_space_group_name_Hall 'P -6 -2'
_cell_length_a 5.3185
_cell_length_b 5.3185
_cell_length_c 5.1949
_cell_angle_alpha 90.00
_cell_angle_beta 90.00
_cell_angle_gamma 120.00
loop_
_atom_site_label
_atom_site_fract_x
_atom_site_fract_y
_atom_site_fract_z
Zr1 0.0000 0.6830 0.0000
Zr2 0.3333 0.6667 0.5000
Rh1 0.0000 0.0000 0.5000
# M_tot = 0.0 μB/f.u.
# Calculated total energy = -8.403 eV/atom


No. 2
# Zr5Rh, optimized geometry, DFT PBE
data_Zr5Rh
_chemical_formula_sum 'Zr10 Rh2'
_space_group_name_H-M_alt 'C m m m'
_space_group_IT_number 65
_space_group_name_Hall '-C 2 2'
_cell_length_a 3.331
_cell_length_b 14.931
_cell_length_c 5.069
_cell_angle_alpha 90.00
_cell_angle_beta 90.00
_cell_angle_gamma 90.00
loop_
_atom_site_label
_atom_site_fract_x
_atom_site_fract_y
_atom_site_fract_z
Zr1 0.000 0.000 0.000
Zr2 0.000 0.154 0.500
Zr3 0.000 0.334 0.000
Rh1 0.000 0.500 0.500
# M_tot = 0.0 μB/f.u.
# Calculated total energy = -8.543 eV/atom


No. 3
# Zr3Rh4, optimized geometry, DFT PBE
data_Zr3Rh4
_chemical_formula_sum 'Zr6 Rh8'
_space_group_name_H-M_alt 'I 4/m m m'
_space_group_IT_number 139
_space_group_name_Hall '-I 4 2'
_cell_length_a 3.475
_cell_length_b 3.475
_cell_length_c 20.939
_cell_angle_alpha 90.00
_cell_angle_beta 90.00
_cell_angle_gamma 90.00
loop_
_atom_site_label
_atom_site_fract_x
_atom_site_fract_y
_atom_site_fract_z
Zr1 0.000 0.000 0.000
Zr2 0.000 0.000 0.303
Rh1 0.000 0.000 0.150
Rh2 0.000 0.000 0.433
# M_tot = 0.0 μB/f.u.
# Calculated total energy = -8.379 eV/atom


No. 4
# Zr3Rh5, optimized geometry, DFT PBE
data_Zr3Rh5
_chemical_formula_sum 'Zr6 Rh10'
_space_group_name_H-M_alt 'P -1'
_space_group_IT_number 2
_space_group_name_Hall '-P 1'
_cell_length_a 4.969
_cell_length_b 7.465
_cell_length_c 7.914
_cell_angle_alpha 82.31
_cell_angle_beta 83.58
_cell_angle_gamma 72.80
loop_
_atom_site_label
_atom_site_fract_x
_atom_site_fract_y
_atom_site_fract_z
Zr1 0.153 0.038 0.164
Zr2 0.204 0.564 0.100
Zr3 0.279 0.318 0.471
Rh1 0.222 0.571 0.729
Rh2 0.238 0.963 0.579
Rh3 0.244 0.702 0.377
Rh4 0.283 0.191 0.825
Rh5 0.431 0.799 0.889
# M_tot = 0.0 μB/f.u.
# Calculated total energy = -8.411 eV/atom


No. 5
# Zr3Rh, optimized geometry, DFT PBE
data_Zr3Rh
_chemical_formula_sum 'Zr6 Rh2'
_space_group_name_H-M_alt 'I m m m'
_space_group_IT_number 71
_space_group_name_Hall '-I 2 2'
_cell_length_a 3.402
_cell_length_b 4.859
_cell_length_c 9.780
_cell_angle_alpha 90.00
_cell_angle_beta 90.00
_cell_angle_gamma 90.00
loop_
_atom_site_label
_atom_site_fract_x
_atom_site_fract_y
_atom_site_fract_z
Zr1 0.000 0.000 0.000
Zr2 0.000 0.500 0.231
Rh1 0.000 0.000 0.500
# M_tot = 0.0 μB/f.u.
# Calculated total energy = -8.636 eV/atom


No. 6
# Zr2Rh3, optimized geometry, DFT PBE
data_Zr2Rh3
_chemical_formula_sum 'Zr2 Rh3'
_space_group_name_H-M_alt 'P -3 m 1'
_space_group_IT_number 164
_space_group_name_Hall '-P 3 2"'
_cell_length_a 4.4756
_cell_length_b 4.4756
_cell_length_c 5.4712
_cell_angle_alpha 90.00
_cell_angle_beta 90.00
_cell_angle_gamma 120.00
loop_
_atom_site_label
_atom_site_fract_x
_atom_site_fract_y
_atom_site_fract_z
Zr1 0.3333 0.6667 0.3008
Rh1 0.0000 0.0000 0.5000
Rh2 0.3333 0.6667 0.8165
# M_tot = 0.0 μB/f.u.
# Calculated total energy = -8.353 eV/atom


No. 7
# Zr5Rh, optimized geometry, DFT PBE
data_Zr5Rh
_chemical_formula_sum 'Zr10 Rh2'
_space_group_name_H-M_alt 'C m m m'
_space_group_IT_number 65
_space_group_name_Hall '-C 2 2'
_cell_length_a 4.955
_cell_length_b 15.076
_cell_length_c 3.418
_cell_angle_alpha 90.00
_cell_angle_beta 90.00
_cell_angle_gamma 90.00
loop_
_atom_site_label
_atom_site_fract_x
_atom_site_fract_y
_atom_site_fract_z
Zr1 0.000 0.000 0.000
Zr2 0.000 0.177 0.500
Zr3 0.000 0.354 0.000
Rh1 0.000 0.500 0.500
# M_tot = 0.0 μB/f.u.
# Calculated total energy = -8.595 eV/atom


No. 8
# Zr3Rh4, optimized geometry, DFT PBE
data_Zr3Rh4
_chemical_formula_sum 'Zr3 Rh4'
_space_group_name_H-M_alt 'P 6/m m m'
_space_group_IT_number 191
_space_group_name_Hall '-P 6 2'
_cell_length_a 5.6568
_cell_length_b 5.6568
_cell_length_c 4.7098
_cell_angle_alpha 90.00
_cell_angle_beta 90.00
_cell_angle_gamma 120.00
loop_
_atom_site_label
_atom_site_fract_x
_atom_site_fract_y
_atom_site_fract_z
Zr1 0.0000 0.5000 0.0000
Rh1 0.0000 0.0000 0.2557
Rh2 0.3333 0.6667 0.5000
# M_tot = 0.0 μB/f.u.
# Calculated total energy = -7.812 eV/atom


No. 9
# Zr3Rh, optimized geometry, DFT PBE
data_Zr3Rh
_chemical_formula_sum 'Zr9 Rh3'
_space_group_name_H-M_alt 'R -3 m'
_space_group_IT_number 166
_space_group_name_Hall '-R 3 2"'
_cell_length_a 9.3871
_cell_length_b 9.3871
_cell_length_c 3.1247
_cell_angle_alpha 90.00
_cell_angle_beta 90.00
_cell_angle_gamma 120.00
loop_
_atom_site_label
_atom_site_fract_x
_atom_site_fract_y
_atom_site_fract_z
Zr1 0.0000 0.5000 0.0000
Rh1 0.0000 0.0000 0.0000
# M_tot = 0.0 μB/f.u.
# Calculated total energy = -8.467 eV/atom


No. 10
# Zr3Rh, optimized geometry, DFT PBE
data_Zr3Rh
_chemical_formula_sum 'Zr6 Rh2'
_space_group_name_H-M_alt 'P m m n'
_space_group_IT_number 59
_cell_length_a 4.985
_cell_length_b 5.698
_cell_length_c 5.673
_cell_angle_alpha 90.00
_cell_angle_beta 90.00
_cell_angle_gamma 90.00
loop_
_space_group_symop_operation_xyz
'x,y,z'
'-x,-y,-z'
'-x+1/2,-y+1/2,z'
'x+1/2,y+1/2,-z'
'x+1/2,-y,-z'
'-x+1/2,y,z'
'-x,y+1/2,-z'
'x,-y+1/2,z'
loop_
_atom_site_label
_atom_site_fract_x
_atom_site_fract_y
_atom_site_fract_z
Zr1 0.250 0.001 0.126
Zr2 0.250 0.750 0.600
Rh1 0.250 0.250 0.663
# M_tot = 0.0 μB/f.u.
# Calculated total energy = -8.478 eV/atom


No. 11
# RuS2, optimized geometry, DFT PBE
data_RuS2
_chemical_formula_sum 'Ru4 S8'
_space_group_name_H-M_alt 'P a -3'
_space_group_IT_number 205
_space_group_name_Hall '-P 2ac 2ab 3'
_cell_length_a 5.654
_cell_length_b 5.654
_cell_length_c 5.654
_cell_angle_alpha 90.00
_cell_angle_beta 90.00
_cell_angle_gamma 90.00
loop_
_atom_site_label
_atom_site_fract_x
_atom_site_fract_y
_atom_site_fract_z
Ru1 0.000 0.000 0.000
S1 0.113 0.613 0.887
# M_tot = 0.0 μB/f.u.
# Formation energy without anion corrections = -550 meV/atom


No. 12
# RuS8, optimized geometry, DFT PBE
data_RuS8
_chemical_formula_sum 'Ru4 S32'
_space_group_name_H-M_alt 'F m m m'
_space_group_IT_number 69
_space_group_name_Hall '-F 2 2'
_cell_length_a 5.026
_cell_length_b 12.534
_cell_length_c 18.534
_cell_angle_alpha 90.00
_cell_angle_beta 90.00
_cell_angle_gamma 90.00
loop_
_atom_site_label
_atom_site_fract_x
_atom_site_fract_y
_atom_site_fract_z
Ru1 0.000 0.000 0.000
S1 0.000 0.000 0.175
S2 0.000 0.079 0.500
S3 0.000 0.118 0.100
# M_tot = 0.0 μB/f.u.
# Formation energy without anion corrections = 215 meV/atom